1.
Here is an optimized crystal structure of NdPuMo from OQMD. Energies are from PBE-GGA.

Summary:
ΔE_f (eV/atom): 0.659
Space group: F-43m (216)
Spin magnetization (μB/cell): 4.81
Distance to the lowest polymorph of the same formula (meV per atom): 0

Lattice parameters (Å, degrees): 4.780 4.780 4.780 60.00 60.00 60.00
Element x y z (fractional)
Mo1 0.000 0.000 0.000
Pu1 0.750 0.750 0.750
Nd1 0.250 0.250 0.250

2.
Here is an optimized crystal structure of ScAgMo from OQMD. Energies are from PBE-GGA.

Summary:
ΔE_f (eV/atom): 0.877
Space group: F-43m (216)
Spin magnetization (μB/cell): 0.16
Distance to the lowest polymorph of the same formula (meV per atom): 0

Lattice parameters (Å, degrees): 4.476 4.476 4.476 60.00 60.00 60.00
Element x y z (fractional)
Mo1 0.250 0.250 0.250
Sc1 0.750 0.750 0.750
Ag1 0.000 0.000 0.000